Entry 1:
The following is a DFT calculation (GGA-PBE) of a relaxed NaLiTe2Rh crystal. Values from VASP.

Output
Formation energy from raw total energies in eV/atom: 0.0759
D(E_F) in states/eV per cell: 3.8
Mass density in g/cm³: 5.67
Volume in Å³/f.u.: 113.7

The structure in Quantum ESPRESSO input format:
```
&SYSTEM
  ibrav = 0, nat = 5, ntyp = 4
/
ATOMIC_SPECIES
Na 22.99 Na.upf
Te 127.60 Te.upf
Rh 102.91 Rh.upf
Li 6.94 Li.upf
CELL_PARAMETERS angstrom
5.1079 0.0000 0.0000
0.0000 4.3591 0.0000
0.0000 0.0000 5.1079
ATOMIC_POSITIONS angstrom
Na 2.5540 2.1796 2.5540
Te 0.0000 0.0000 2.5540
Te 2.5540 0.0000 0.0000
Rh 0.0000 2.1796 0.0000
Li 0.0000 0.0000 0.0000
```

***

Entry 2:
The following is a DFT calculation (GGA-PBE) of a relaxed NaLi2TlRh crystal. Values from VASP.

Output
D(E_F) in states/eV per cell: 2.2
E_form in eV/atom: 0.009
Mass density in g/cm³: 4.72
Volume in Å³/f.u.: 121.0

The structure in Quantum ESPRESSO input format:
```
&SYSTEM
  ibrav = 0, nat = 5, ntyp = 4
/
ATOMIC_SPECIES
Na 22.99 Na.upf
Tl 204.38 Tl.upf
Rh 102.91 Rh.upf
Li 6.94 Li.upf
CELL_PARAMETERS angstrom
4.8070 0.0000 0.0000
0.0000 4.8070 0.0000
0.0000 0.0000 5.2371
ATOMIC_POSITIONS angstrom
Na 2.4035 2.4035 2.6185
Tl 0.0000 0.0000 2.6185
Rh 0.0000 0.0000 0.0000
Li 0.0000 2.4035 0.0000
Li 2.4035 0.0000 0.0000
```

***

Entry 3:
The following is a DFT calculation (GGA-PBE) of a relaxed NaLiRu2 crystal. Values from VASP.

Output
Relative energy among the computed polymorphs in eV per formula unit: 0.000
D(E_F) in states/eV per cell: 6.7
E_form in eV/atom: 0.668
Mass density in g/cm³: 5.92
Volume in Å³/f.u.: 65.1

The structure in Quantum ESPRESSO input format:
```
&SYSTEM
  ibrav = 0, nat = 8, ntyp = 3
/
ATOMIC_SPECIES
Ru 101.07 Ru.upf
Li 6.94 Li.upf
Na 22.99 Na.upf
CELL_PARAMETERS angstrom
-0.0314 3.3684 -1.2711
-1.4920 -1.1690 -3.0611
-9.9092 2.4957 1.7594
ATOMIC_POSITIONS angstrom
Ru -2.6684 0.9699 -0.1285
Ru -3.4288 1.9275 -2.2410
Ru -8.7177 2.1367 -1.7710
Ru -8.0503 4.3561 -1.0051
Li -0.7617 1.0997 -2.1661
Li -6.0814 1.2132 -1.7339
Na 0.0000 0.0000 0.0000
Na -5.3511 3.4819 -0.8389
```

***

Entry 4:
The following is a DFT calculation (GGA-PBE) of a relaxed NaLi3Ru crystal. Values from VASP.

Output
Relative energy among the computed polymorphs in eV per formula unit: 0.000
D(E_F) in states/eV per cell: 3.8
E_form in eV/atom: 0.615
Mass density in g/cm³: 2.12
Volume in Å³/f.u.: 113.6

The structure in Quantum ESPRESSO input format:
```
&SYSTEM
  ibrav = 0, nat = 5, ntyp = 3
/
ATOMIC_SPECIES
Ru 101.07 Ru.upf
Li 6.94 Li.upf
Na 22.99 Na.upf
CELL_PARAMETERS angstrom
4.8431 0.0000 0.0000
0.0000 4.8431 0.0000
0.0000 0.0000 4.8431
ATOMIC_POSITIONS angstrom
Ru 0.0000 0.0000 0.0000
Li 0.0000 2.4215 0.0000
Li 0.0000 0.0000 2.4215
Li 2.4215 0.0000 0.0000
Na 2.4215 2.4215 2.4215
```

***

Entry 5:
The following is a DFT calculation (GGA-PBE) of a relaxed NaLiRu2 crystal. Values from VASP.

Output
Relative energy among the computed polymorphs in eV per formula unit: 1.628
D(E_F) in states/eV per cell: 4.1
E_form in eV/atom: 1.075
Mass density in g/cm³: 6.34
Volume in Å³/f.u.: 60.8

The structure in Quantum ESPRESSO input format:
```
&SYSTEM
  ibrav = 0, nat = 4, ntyp = 3
/
ATOMIC_SPECIES
Ru 101.07 Ru.upf
Li 6.94 Li.upf
Na 22.99 Na.upf
CELL_PARAMETERS angstrom
2.2799 -2.1331 3.1202
-2.0879 -1.6417 3.5255
-0.4482 -4.3666 0.4644
ATOMIC_POSITIONS angstrom
Ru -0.0640 -2.0353 1.7775
Ru -0.1921 -6.1060 5.3325
Li 0.0000 0.0000 0.0000
Na -0.1281 -4.0707 3.5550
```

***

Entry 6:
The following is a DFT calculation (GGA-PBE) of a relaxed Na3LiRu crystal. Values from VASP.

Output
Relative energy among the computed polymorphs in eV per formula unit: 0.873
D(E_F) in states/eV per cell: 6.2
E_form in eV/atom: 1.109
Mass density in g/cm³: 2.28
Volume in Å³/f.u.: 128.8

The structure in Quantum ESPRESSO input format:
```
&SYSTEM
  ibrav = 0, nat = 5, ntyp = 3
/
ATOMIC_SPECIES
Ru 101.07 Ru.upf
Li 6.94 Li.upf
Na 22.99 Na.upf
CELL_PARAMETERS angstrom
5.0496 0.0000 0.0000
0.0000 5.0496 0.0000
0.0000 0.0000 5.0496
ATOMIC_POSITIONS angstrom
Ru 2.5248 2.5248 2.5248
Li 0.0000 0.0000 0.0000
Na 0.0000 2.5248 0.0000
Na 0.0000 0.0000 2.5248
Na 2.5248 0.0000 0.0000
```

***

Question: The lowest mass density belongs to which entry?
Answer: NaLi3Ru

***

Repeat the first record exactly.
The following is a DFT calculation (GGA-PBE) of a relaxed NaLiTe2Rh crystal. Values from VASP.

Output
Formation energy from raw total energies in eV/atom: 0.0759
D(E_F) in states/eV per cell: 3.8
Mass density in g/cm³: 5.67
Volume in Å³/f.u.: 113.7

The structure in Quantum ESPRESSO input format:
```
&SYSTEM
  ibrav = 0, nat = 5, ntyp = 4
/
ATOMIC_SPECIES
Na 22.99 Na.upf
Te 127.60 Te.upf
Rh 102.91 Rh.upf
Li 6.94 Li.upf
CELL_PARAMETERS angstrom
5.1079 0.0000 0.0000
0.0000 4.3591 0.0000
0.0000 0.0000 5.1079
ATOMIC_POSITIONS angstrom
Na 2.5540 2.1796 2.5540
Te 0.0000 0.0000 2.5540
Te 2.5540 0.0000 0.0000
Rh 0.0000 2.1796 0.0000
Li 0.0000 0.0000 0.0000
```

***

Question: Among the records above, which one has the lowest volume?
Answer: number 5